Compound: YBe2CdSb
Source: Alexandria
Functional: PBE-GGA
Structure: relaxed

abc: 5.037 5.657 5.037
angles: 90.00 90.00 90.00
Atoms (fractional coordinates):
Y 0.000 0.000 0.000
Sb 0.500 0.500 0.500
Be 0.000 0.000 0.500
Be 0.500 0.000 0.000
Cd 0.000 0.500 0.000

Summary:
Magnetic moment   0.0 Bohr magnetons per cell
Space-group type   P4/mmm (123)

***

Compound: Y2BeCdSb
Source: Alexandria
Functional: PBE-GGA
Structure: relaxed

abc: 5.687 5.265 5.687
angles: 90.00 90.00 90.00
Atoms (fractional coordinates):
Y 0.000 0.000 0.500
Y 0.500 0.000 0.000
Sb 0.000 0.000 0.000
Be 0.500 0.500 0.500
Cd 0.000 0.500 0.000

Summary:
Magnetic moment   0.0 Bohr magnetons per cell
Space-group type   P4/mmm (123)

***

Number 1: final energy -2.351 eV per atom. Number 2: final energy -3.716 eV per atom.